# 1
PBE+U Fe4O3F5, relaxed; total energy = -5.853 eV per atom; relative energy among the computed polymorphs = 39 meV/atom
1.0
4.8002 -3.1331 0.0000
4.8002 3.1331 0.0000
-0.4320 0.0000 9.5582
Fe O F
8 6 10
Cartesian
2.4001 1.5666 0.0000
2.1841 1.5666 4.7791
0.0471 0.0000 2.5977
4.1355 0.0000 7.2361
2.4001 -1.5666 0.0000
2.1841 -1.5666 4.7791
5.0329 0.0000 2.3221
9.1213 0.0000 6.9605
3.5204 1.6380 6.1409
2.8336 0.0000 8.8194
5.6480 1.6380 3.4173
3.5204 -1.6380 6.1409
6.3347 0.0000 0.7388
5.6480 -1.6380 3.4173
3.8306 1.6841 1.4580
1.3920 0.0000 1.0027
1.2399 0.0000 5.7885
5.3378 1.6841 8.1002
3.1558 0.0000 3.8771
6.0125 0.0000 5.6810
3.8306 -1.6841 1.4580
7.9284 0.0000 3.7697
7.7764 0.0000 8.5555
5.3378 -1.6841 8.1002

---

# 2
PBE+U Fe4O5F3, relaxed; total energy = -5.985 eV per atom; relative energy among the computed polymorphs = 64 meV/atom; N(E_F) = 7.09 states/eV per cell
1.0
4.6923 0.0000 0.0000
0.0115 6.0663 0.0000
0.6199 0.0107 9.3822
Fe O F
8 10 6
Cartesian
0.0000 0.0000 0.0000
0.3604 3.0312 4.7676
0.4234 5.9834 4.7684
2.3233 4.5839 2.2396
2.7641 4.5732 6.8897
2.5062 1.5235 2.4098
3.0629 1.4368 7.1911
4.5979 3.0491 0.1144
0.8703 4.5527 0.8611
1.3047 4.4905 5.6029
1.6377 3.0351 3.3055
1.6445 0.0451 3.2727
2.0003 6.0525 7.9750
3.3112 3.0392 1.5243
3.3243 0.0339 1.4393
3.6944 2.9914 6.1530
3.7524 6.0579 6.1284
4.4197 1.5387 8.5812
1.0229 1.6205 0.9869
1.3612 1.4474 5.6725
1.9485 2.9976 7.9936
4.2461 4.4360 8.4172
4.0238 4.6038 3.7803
4.0831 1.5180 3.8449

---

# 3
PBE+U Fe4O5F3, relaxed; total energy = -6.040 eV per atom; relative energy among the computed polymorphs = 9 meV/atom; N(E_F) = 3.82 states/eV per cell
1.0
4.7193 0.0000 0.0000
0.0203 6.0821 0.0000
0.3493 0.0368 9.4262
Fe O F
8 10 6
Cartesian
0.0000 0.0000 0.0000
0.1810 0.0326 4.7219
0.3127 3.0780 4.8535
0.2293 3.0451 0.1915
2.3932 1.5482 7.0929
2.5609 4.6074 6.9566
2.5066 1.5210 2.4493
2.6680 4.5862 2.3158
1.2156 1.5301 8.6163
1.2784 4.6380 8.5594
1.0965 1.5517 3.8374
1.6180 0.0488 6.1499
1.6634 3.0734 6.1931
1.6886 3.0502 1.5658
3.4327 0.0256 3.2871
4.0408 4.6023 5.5962
3.9027 1.4921 0.9905
3.9650 4.5883 0.9229
1.1711 4.5751 3.7558
1.5636 6.0645 1.4755
3.5452 3.0573 7.9746
3.5635 0.0640 7.9722
3.5395 3.0743 3.3750
3.9669 1.5700 5.7065

---

# 4
PBE+U Fe4O5F3, relaxed; total energy = -6.038 eV per atom; relative energy among the computed polymorphs = 12 meV/atom; N(E_F) = 6.08 states/eV per cell
1.0
6.0856 0.0000 0.0000
0.0000 4.7164 0.0000
-3.0317 0.0000 9.4383
Fe O F
8 10 6
Cartesian
-0.7845 0.0000 3.5640
0.7646 2.3053 1.3970
-0.7230 0.2666 8.3638
0.7512 2.2648 5.9756
2.3027 4.6230 3.4626
3.7769 2.6248 1.0744
2.2893 4.6635 8.0413
3.8384 2.3582 5.8743
-2.2506 0.9548 7.3332
-0.7523 1.4505 4.9960
0.7488 0.8660 2.7360
2.2724 1.5594 0.3471
2.2735 3.3167 2.1128
0.7804 0.9585 7.3255
0.7815 3.9176 9.0912
2.3051 3.2242 6.7023
3.8062 3.8087 4.4423
5.3045 3.3130 2.1050
-2.2837 3.8465 9.1700
-0.7437 3.3391 6.8378
0.7700 3.7359 4.5275
2.2839 1.3777 4.9107
3.7976 0.9809 2.6005
5.3376 1.4883 0.2683

---

# 5
PBE+U Fe4O5F3, relaxed; total energy = -6.012 eV per atom; relative energy among the computed polymorphs = 37 meV/atom; N(E_F) = 5.71 states/eV per cell
1.0
4.7081 0.0000 0.0000
-0.0534 6.0830 0.0000
-0.3178 -3.0341 9.3918
Fe O F
8 10 6
Cartesian
0.0000 0.0000 0.0000
-0.1602 0.0428 4.6653
2.0552 1.5620 2.3156
2.1598 4.6205 2.4276
2.1735 1.5139 6.9170
2.3577 -1.4494 7.0571
4.4519 3.0927 0.2206
4.3806 3.0810 4.8197
0.7537 1.5583 0.9535
0.7642 4.5920 0.9752
0.6803 1.5453 5.5496
1.2645 0.0406 3.2514
2.9887 3.0822 1.5599
3.0256 3.0798 6.1653
3.1248 0.0327 6.0751
3.5861 4.6159 3.8198
3.4615 1.5368 8.5198
3.5109 -1.4846 8.5810
0.7661 -1.4893 5.6910
1.1558 3.1473 3.4150
1.1269 3.0803 7.9476
1.2108 0.0112 7.9043
3.1844 -0.0058 1.4269
3.5235 1.5781 3.7163

---

# 6
PBE+U FeO2F2, relaxed; total energy = -3.531 eV per atom; N(E_F) = 1.57 states/eV per cell
1.0
3.4913 0.0000 0.0000
0.0000 3.4913 0.0000
0.0000 0.0000 4.5516
Fe O F
1 2 2
Cartesian
0.0000 0.0000 0.0000
0.0000 1.7456 2.2758
1.7456 0.0000 2.2758
1.7456 1.7456 0.0000
1.7456 1.7456 2.2758

---

# 7
PBE+U Fe3O5F, relaxed; total energy = -6.114 eV per atom; relative energy among the computed polymorphs = 10 meV/atom; N(E_F) = 6.09 states/eV per cell
1.0
9.0298 0.0000 0.0000
0.0000 4.6369 0.0000
0.0000 0.0000 4.6298
Fe O F
6 10 2
Cartesian
0.0000 1.0445 0.0000
1.5595 3.4875 2.4409
2.9554 1.1494 0.1260
4.5149 3.5924 2.3149
6.0745 1.1494 0.1260
7.4703 3.4875 2.4409
0.0000 4.2834 3.2626
1.4503 0.2188 0.9759
1.4786 2.0181 3.8196
3.0363 2.6188 1.5047
3.0646 4.4182 3.2908
4.5149 0.3536 0.9477
5.9652 4.4182 3.2908
5.9935 2.6188 1.5047
7.5512 2.0181 3.8196
7.5795 0.2188 0.9759
0.0000 2.5109 1.4868
4.5149 2.1261 3.8017

---

# 8
PBE+U FeO2F, relaxed; total energy = -3.748 eV per atom; N(E_F) = 9.10 states/eV per cell
1.0
3.2260 0.0000 0.0000
-1.6130 2.7938 0.0000
0.0000 0.0000 17.9487
Fe O F
3 6 3
Cartesian
0.0000 0.0000 0.0000
0.0000 1.8625 11.9658
1.6130 0.9313 5.9829
0.0000 0.0000 1.7208
0.0000 0.0000 16.2279
0.0000 1.8625 10.2450
0.0000 1.8625 13.6866
1.6130 0.9313 4.2621
1.6130 0.9313 7.7037
0.0000 0.0000 8.9743
0.0000 1.8625 2.9915
1.6130 0.9313 14.9572

---

# 9
PBE+U Fe5O2F8, relaxed; total energy = -5.700 eV per atom; relative energy among the computed polymorphs = 27 meV/atom; N(E_F) = 11.47 states/eV per cell
1.0
7.9945 0.0000 0.0000
0.0000 4.7889 0.0000
-4.7320 0.0000 9.5978
Fe O F
10 4 16
Cartesian
0.0000 0.0000 0.0000
-2.3660 2.3945 4.7989
-2.1970 0.0635 7.8505
0.1689 2.3310 3.0515
0.2574 0.1279 5.7164
2.6234 2.2666 0.9175
0.6391 2.5224 8.6804
3.0051 4.6610 3.8815
3.0936 2.4579 6.5463
5.4596 4.7255 1.7474
-3.0245 0.8438 9.4252
-0.6585 1.5507 4.6263
3.9211 3.2382 4.9716
6.2871 3.9452 0.1727
-0.6757 1.0092 1.6906
-3.0417 1.3853 6.4896
0.7860 3.3464 1.3143
-1.5800 3.8370 6.1132
-1.3257 3.3233 8.8280
1.0403 3.8601 4.0291
-0.3718 0.9783 7.5990
1.9942 1.4162 2.8001
1.2684 3.3728 6.7977
3.6344 3.8106 1.9988
2.2223 0.9288 5.5688
4.5883 1.4657 0.7699
4.8425 0.9519 3.4846
2.4765 1.4426 8.2836
6.3042 3.4037 3.1083
3.9382 3.7797 7.9072

---

# 10
PBE+U Fe2OF2, relaxed; total energy = -5.104 eV per atom; relative energy among the computed polymorphs = 866 meV/atom; N(E_F) = 0.12 states/eV per cell
1.0
6.2684 0.0000 0.0000
0.0000 6.2684 0.0000
0.0000 0.0000 2.7317
Fe O F
4 2 4
Cartesian
1.2125 1.9217 0.0000
1.9217 5.0559 0.0000
4.3468 1.2125 0.0000
5.0559 4.3468 0.0000
0.0000 0.0000 1.3659
3.1342 3.1342 1.3659
0.7671 3.9013 1.3659
2.3671 0.7671 1.3659
3.9013 5.5014 1.3659
5.5014 2.3671 1.3659

---

# 11
PBE+U Fe4O5F3, relaxed; total energy = -6.012 eV per atom; relative energy among the computed polymorphs = 37 meV/atom; N(E_F) = 4.93 states/eV per cell
1.0
4.6866 0.0000 0.0000
-0.1272 5.5604 0.0000
-0.1993 -1.0822 10.2418
Fe O F
8 10 6
Cartesian
0.0000 0.0000 0.0000
-0.1633 2.2391 5.1209
-0.0288 0.6176 7.6088
1.8804 3.4095 7.7497
2.2436 -0.5411 5.1209
2.2797 2.7802 0.0000
2.4796 1.0687 2.4921
4.3888 3.8606 2.6330
0.7087 3.7972 4.4032
0.7117 2.2132 6.7924
0.7122 0.5015 9.4270
1.1365 3.2657 9.4999
1.3538 -0.5628 6.8522
3.0063 5.0410 3.3896
3.2235 1.2125 0.7419
3.6478 3.9767 0.8148
3.6483 2.2650 3.4494
3.6513 0.6810 5.8386
0.8680 -0.0552 1.8521
1.2786 2.6638 1.9207
1.2962 1.0347 4.2723
3.0639 3.4435 5.9695
3.0814 1.8144 8.3211
3.4920 4.5334 8.3897

---

# 12
PBE+U FeOF, relaxed; total energy = -5.831 eV per atom
1.0
4.6931 0.0000 0.0000
0.5133 5.6153 0.0000
0.5118 0.6052 7.6805
Fe O F
6 6 6
Cartesian
0.0000 0.0000 0.0000
0.5436 2.3209 5.0476
0.6221 3.8898 2.5009
3.0762 5.1397 5.2128
3.1620 3.4078 7.6176
2.8771 1.4343 2.6395
2.2565 4.9846 6.9284
1.8374 2.7340 1.6957
1.8915 1.1720 4.2971
4.0010 3.4947 5.8613
3.5024 1.2466 0.7699
4.3649 2.4909 3.3483
1.5107 5.4753 1.7629
1.5165 2.1387 6.8020
1.6924 4.0257 4.2948
4.0735 5.2091 3.3063
4.1446 4.0886 0.7591
4.1801 0.6218 5.8962